Entry from Alexandria via LeMat-Bulk: crystalline ZrTc2Br at its relaxed geometry (GGA-PBEsol).

```
4
Lattice="0.0000 3.1918 3.1918 3.1918 0.0000 3.1918 3.1918 3.1918 0.0000" Properties=species:S:1:pos:R:3 pbc="T T T"
Zr 0.0000 0.0000 0.0000
Tc 1.5959 1.5959 1.5959
Tc 4.7877 4.7877 4.7877
Br 3.1918 3.1918 3.1918
```

Values from the calculation:
- energy (eV for the cell shown) = -31.0
- uncorrected formation energy (eV per formula unit) = 2.46
- mass density (g cm⁻³) = 9.37
- symmetry = Fm-3m
- calculated volume (Å³ per cell) = 65.0
- energy relative to the lowest polymorph listed for this composition (meV per atom) = 281